Rb2LiPmF6 (PBE, optimized geometry); DOS at the Fermi energy = 0.00 states/eV/cell; total DFT energy (no corrections) = -5.279 eV/atom; raw formation energy = -318.1 kJ per mole of atoms; size of the total moment = 0.0000 μB/atom
1.0
6.2323 0.0008 -0.0001
0.0015 6.2324 -0.0002
3.1168 3.1164 4.4066
F Li Rb Pm
6 1 2 1
Direct
0.2434 0.7566 0.0000
0.2435 0.2435 0.0000
0.7566 0.2434 0.0000
0.2434 0.2434 0.5132
0.7565 0.7565 0.0000
0.7566 0.7566 0.4868
0.0000 0.0000 0.0000
0.2500 0.7500 0.5000
0.7500 0.2500 0.5000
0.5000 0.5000 0.0000



ErAgP2Se6 (PBE, optimized geometry); DOS at the Fermi energy = 0.00 states/eV/cell; total DFT energy (no corrections) = -4.468 eV/atom; raw formation energy = -53.5 kJ per mole of atoms; size of the total moment = 0.0000 μB/atom
1.0
-2.7843 -0.1548 6.0322
-3.6460 -1.3905 -5.3793
3.6072 -14.4642 1.2939
Se Er P Ag
12 2 4 2
Direct
0.3437 0.3220 0.8706
0.9783 0.3220 0.6294
0.6780 0.0217 0.8706
0.0217 0.6780 0.3706
0.6563 0.9783 0.3706
0.9783 0.6563 0.8706
0.3220 0.9783 0.1294
0.6563 0.6780 0.1294
0.6780 0.6563 0.6294
0.0217 0.3437 0.1294
0.3220 0.3437 0.3706
0.3437 0.0217 0.6294
0.0000 0.0000 0.7500
0.0000 0.0000 0.2500
0.6667 0.3333 0.6740
0.6667 0.3333 0.8260
0.3333 0.6667 0.3260
0.3333 0.6667 0.1740
0.3333 0.6667 0.7500
0.6667 0.3333 0.2500



Tm3PaTl3S8 (PBE, optimized geometry); DOS at the Fermi energy = 4.85 states/eV/cell; total DFT energy (no corrections) = -5.710 eV/atom; raw formation energy = -145.5 kJ per mole of atoms; size of the total moment = 0.0676 μB/atom
1.0
7.9568 0.0000 0.0000
-3.9784 6.8900 -0.0310
0.0000 -4.5656 7.6411
S Tl Tm Pa
8 3 3 1
Direct
0.7693 0.5386 0.3079
0.2691 0.0384 0.3078
0.2307 0.9616 0.6922
0.7305 0.4610 0.6914
0.7693 0.0384 0.3078
0.2695 0.5390 0.3086
0.7309 0.9616 0.6922
0.2307 0.4614 0.6921
0.5000 0.5000 0.0000
0.0000 0.0000 0.0000
0.0000 0.5000 0.0000
0.5000 0.0000 0.5000
0.0000 0.5000 0.5000
0.5000 0.5000 0.5000
0.0000 0.0000 0.5000



TbGdCdRu (PBE, optimized geometry); DOS at the Fermi energy = 3.56 states/eV/cell; total DFT energy (no corrections) = -7.489 eV/atom; formation energy = -0.26 eV/atom; size of the total moment = 1.7623 μB/atom
1.0
5.0672 0.0000 0.0000
2.5336 4.3884 0.0000
2.5336 1.4628 4.1374
Gd Tb Ru Cd
1 1 1 1
Direct
0.5000 0.5000 0.5000
0.0000 0.0000 0.0000
0.7500 0.7500 0.7500
0.2500 0.2500 0.2500



CeEr2In (PBE, optimized geometry); DOS at the Fermi energy = 14.61 states/eV/cell; total DFT energy (no corrections) = -4.586 eV/atom; formation energy = -0.14 eV/atom; size of the total moment = 0.1692 μB/atom
1.0
3.4547 0.0000 0.0000
0.0000 13.2249 0.9840
0.0000 -2.5482 4.7175
In Er Ce
2 4 2
Direct
0.2500 0.7011 0.4537
0.7500 0.2989 0.5463
0.7500 0.4678 0.2175
0.7500 0.7777 0.0315
0.2500 0.2223 0.9685
0.2500 0.5322 0.7825
0.7500 0.9601 0.7127
0.2500 0.0399 0.2873



Ti5Pd2Rh2W (PBE, optimized geometry); DOS at the Fermi energy = 20.70 states/eV/cell; total DFT energy (no corrections) = -7.992 eV/atom; formation energy = -0.24 eV/atom; size of the total moment = 0.0000 μB/atom
1.0
-0.0491 1.2199 -2.7746
1.5461 -9.5289 -4.2170
-10.4189 -1.4835 -0.4677
Rh Ti Pd W
4 10 4 2
Direct
0.0000 0.3620 0.1380
0.0000 0.8620 0.3620
0.0000 0.1380 0.6380
0.0000 0.6380 0.8620
0.5000 0.3355 0.6224
0.5000 0.3776 0.3355
0.5000 0.8355 0.8776
0.5000 0.8776 0.1645
0.5000 0.1224 0.8355
0.5000 0.6645 0.3776
0.5000 0.6224 0.6645
0.5000 0.5000 0.0000
0.5000 0.1645 0.1224
0.5000 0.0000 0.5000
0.0000 0.3442 0.8442
0.0000 0.1558 0.3442
0.0000 0.6558 0.1558
0.0000 0.8442 0.6558
0.0000 0.0000 0.0000
0.0000 0.5000 0.5000



Question: Which value of DOS at the Fermi energy does entry 5 give?
Answer: 14.61 states/eV/cell